Record 1
Density functional theory data (PBE) for an optimized crystal structure of Cs2CePdI6. Values from VASP.

Quantum ESPRESSO input file:
```
&SYSTEM
  ibrav = 0, nat = 20, ntyp = 4
/
ATOMIC_SPECIES
Cs 132.91 Cs.upf
Ce 140.12 Ce.upf
Pd 106.42 Pd.upf
I 126.90 I.upf
ATOMIC_POSITIONS crystal
Cs 0.122 0.122 0.122
Cs 0.294 0.294 0.294
Cs 0.706 0.706 0.706
Cs 0.878 0.878 0.878
Ce 0.417 0.417 0.417
Ce 0.583 0.583 0.583
Pd 0.000 0.000 0.000
Pd 0.500 0.500 0.500
I 0.123 0.629 0.629
I 0.204 0.204 0.715
I 0.204 0.715 0.204
I 0.285 0.796 0.796
I 0.371 0.371 0.877
I 0.371 0.877 0.371
I 0.629 0.123 0.629
I 0.629 0.629 0.123
I 0.715 0.204 0.204
I 0.796 0.285 0.796
I 0.796 0.796 0.285
I 0.877 0.371 0.371
CELL_PARAMETERS angstrom
4.273 2.467 13.979
-4.273 2.467 13.979
0.000 -4.934 13.979
```

formation energy from raw total energies: -11.5 eV per formula unit
space group: R-3m (166)
energy: -3.365 eV/atom

Record 2
Density functional theory data (PBE) for an optimized crystal structure of YLu3H. Values from VASP.

Quantum ESPRESSO input file:
```
&SYSTEM
  ibrav = 0, nat = 5, ntyp = 3
/
ATOMIC_SPECIES
Y 88.91 Y.upf
Lu 174.97 Lu.upf
H 1.01 H.upf
ATOMIC_POSITIONS crystal
Y 0.000 0.000 0.000
Lu 0.000 0.500 0.500
Lu 0.500 0.000 0.500
Lu 0.500 0.500 0.000
H 0.500 0.500 0.500
CELL_PARAMETERS angstrom
4.902 0.000 0.000
0.000 4.902 0.000
0.000 0.000 4.902
```

space group: Pm-3m (221)
energy: -4.816 eV/atom

Record 3
Density functional theory data (PBE) for an optimized crystal structure of Ir2IO. Values from VASP.

Quantum ESPRESSO input file:
```
&SYSTEM
  ibrav = 0, nat = 8, ntyp = 3
/
ATOMIC_SPECIES
Ir 192.22 Ir.upf
I 126.90 I.upf
O 16.00 O.upf
ATOMIC_POSITIONS crystal
Ir 0.375 0.230 0.355
Ir 0.770 0.125 0.145
Ir 0.875 0.020 0.645
Ir 0.980 0.625 0.855
I 0.250 0.750 0.500
I 0.500 0.500 0.000
O 0.000 0.000 0.000
O 0.750 0.250 0.500
CELL_PARAMETERS angstrom
-2.403 2.403 6.449
2.403 -2.403 6.449
2.403 2.403 -6.449
```

formation energy from raw total energies: 2.0 eV per formula unit
space group: I-42d (122)
energy: -5.564 eV/atom

Record 4
Density functional theory data (PBE) for an optimized crystal structure of BeV3Sb. Values from VASP.

Quantum ESPRESSO input file:
```
&SYSTEM
  ibrav = 0, nat = 5, ntyp = 3
/
ATOMIC_SPECIES
Be 9.01 Be.upf
V 50.94 V.upf
Sb 121.76 Sb.upf
ATOMIC_POSITIONS crystal
Be 0.000 0.000 0.000
V 0.000 0.000 0.500
V 0.000 0.500 0.000
V 0.500 0.000 0.000
Sb 0.500 0.500 0.500
CELL_PARAMETERS angstrom
4.188 0.000 0.000
0.000 4.188 0.000
0.000 0.000 4.188
```

formation energy from raw total energies: 1.8 eV per formula unit
space group: Pm-3m (221)
energy: -6.673 eV/atom

Record 5
Density functional theory data (PBE) for an optimized crystal structure of PuScSi4. Values from VASP.

Quantum ESPRESSO input file:
```
&SYSTEM
  ibrav = 0, nat = 6, ntyp = 3
/
ATOMIC_SPECIES
Pu 244.00 Pu.upf
Sc 44.96 Sc.upf
Si 28.09 Si.upf
ATOMIC_POSITIONS crystal
Pu 0.000 0.000 0.000
Sc 0.750 0.750 0.750
Si 0.376 0.376 0.376
Si 0.376 0.376 0.873
Si 0.376 0.873 0.376
Si 0.873 0.376 0.376
CELL_PARAMETERS angstrom
0.000 3.668 3.668
3.668 0.000 3.668
3.668 3.668 0.000
```

formation energy from raw total energies: -2.1 eV per formula unit
space group: F-43m (216)
energy: -7.414 eV/atom

Record 6
Density functional theory data (PBE) for an optimized crystal structure of AlSn2Au. Values from VASP.

Quantum ESPRESSO input file:
```
&SYSTEM
  ibrav = 0, nat = 4, ntyp = 3
/
ATOMIC_SPECIES
Al 26.98 Al.upf
Sn 118.71 Sn.upf
Au 196.97 Au.upf
ATOMIC_POSITIONS crystal
Al 0.000 0.000 0.000
Sn 0.093 0.093 0.093
Sn 0.907 0.907 0.907
Au 0.500 0.500 0.500
CELL_PARAMETERS angstrom
1.614 0.932 10.418
-1.614 0.932 10.418
0.000 -1.864 10.418
```

E_form: 0.14 eV per atom
space group: R-3m (166)
energy: -3.613 eV/atom

Record 7
Density functional theory data (PBE) for an optimized crystal structure of TbFe4Si4. Values from VASP.

Quantum ESPRESSO input file:
```
&SYSTEM
  ibrav = 0, nat = 18, ntyp = 3
/
ATOMIC_SPECIES
Tb 158.93 Tb.upf
Fe 55.84 Fe.upf
Si 28.09 Si.upf
ATOMIC_POSITIONS crystal
Tb 0.250 0.250 0.250
Tb 0.750 0.750 0.750
Fe 0.132 0.864 0.698
Fe 0.136 0.632 0.198
Fe 0.364 0.868 0.198
Fe 0.368 0.636 0.698
Fe 0.632 0.364 0.302
Fe 0.636 0.132 0.802
Fe 0.864 0.368 0.802
Fe 0.868 0.136 0.302
Si 0.042 0.905 0.202
Si 0.095 0.542 0.702
Si 0.405 0.958 0.702
Si 0.458 0.595 0.202
Si 0.542 0.405 0.798
Si 0.595 0.042 0.298
Si 0.905 0.458 0.298
Si 0.958 0.095 0.798
CELL_PARAMETERS angstrom
7.726 0.000 0.000
0.000 7.726 0.000
0.000 0.000 4.283
```

formation energy from raw total energies: -3.7 eV per formula unit
space group: P4_2/n (86)
energy: -7.098 eV/atom

Record 8
Density functional theory data (PBE) for an optimized crystal structure of LaTcSe2. Values from VASP.

Quantum ESPRESSO input file:
```
&SYSTEM
  ibrav = 0, nat = 4, ntyp = 3
/
ATOMIC_SPECIES
La 138.91 La.upf
Tc 98.00 Tc.upf
Se 78.96 Se.upf
ATOMIC_POSITIONS crystal
La 0.000 0.000 0.000
Tc 0.258 0.258 0.617
Se 0.475 0.475 0.499
Se 0.728 0.728 0.949
CELL_PARAMETERS angstrom
5.445 -1.922 0.000
5.445 1.922 0.000
-0.265 0.000 4.537
```

formation energy from raw total energies: -2.6 eV per formula unit
space group: Cm (8)
energy: -6.206 eV/atom

Record 9
Density functional theory data (PBE) for an optimized crystal structure of CePu3Ge4. Values from VASP.

Quantum ESPRESSO input file:
```
&SYSTEM
  ibrav = 0, nat = 8, ntyp = 3
/
ATOMIC_SPECIES
Ce 140.12 Ce.upf
Pu 244.00 Pu.upf
Ge 72.64 Ge.upf
ATOMIC_POSITIONS crystal
Ce 0.000 0.000 0.000
Pu 0.000 0.000 0.500
Pu 0.000 0.500 0.251
Pu 0.000 0.500 0.749
Ge 0.500 0.000 0.252
Ge 0.500 0.000 0.748
Ge 0.500 0.500 0.000
Ge 0.500 0.500 0.500
CELL_PARAMETERS angstrom
2.934 0.000 0.000
0.000 5.498 0.000
0.000 0.000 10.992
```

E_form: -0.46 eV per atom
space group: Pmmm (47)
energy: -8.884 eV/atom

Record 10
Density functional theory data (PBE) for an optimized crystal structure of LiMo2PSe. Values from VASP.

Quantum ESPRESSO input file:
```
&SYSTEM
  ibrav = 0, nat = 5, ntyp = 4
/
ATOMIC_SPECIES
Li 6.94 Li.upf
Mo 95.94 Mo.upf
P 30.97 P.upf
Se 78.96 Se.upf
ATOMIC_POSITIONS crystal
Li 0.000 0.000 0.000
Mo 0.000 0.500 0.000
Mo 0.500 0.000 0.000
P 0.000 0.000 0.500
Se 0.500 0.500 0.500
CELL_PARAMETERS angstrom
4.471 0.000 0.000
0.000 4.471 0.000
0.000 0.000 3.684
```

formation energy from raw total energies: 4.6 eV per formula unit
space group: P4/mmm (123)
energy: -5.576 eV/atom